Material: Ba4Ga3Si
Method: DFT, PBE-GGA
State: relaxed

CIF file:
```
data_Ba4Ga3Si
_space_group_name_H-M_alt 'P m m 2'
_space_group_IT_number 25
_cell_length_a 4.423
_cell_length_b 4.979
_cell_length_c 12.770
_cell_angle_alpha 90.00
_cell_angle_beta 90.00
_cell_angle_gamma 90.00
loop_
_space_group_symop_operation_xyz
'x,y,z'
'-x,-y,z'
'-x,y,z'
'x,-y,z'
loop_
_atom_site_label
_atom_site_fract_x
_atom_site_fract_y
_atom_site_fract_z
Ba1 0.000 0.000 0.000
Ba2 0.000 0.500 0.486
Ba3 0.500 0.000 0.708
Ba4 0.500 0.500 0.211
Ga1 0.000 0.500 0.800
Ga2 0.500 0.000 0.405
Ga3 0.500 0.500 0.907
Si1 0.000 0.000 0.290
```

## Properties
Crystal system: orthorhombic
N(E_F): 1.13 states/eV per atom
Uncorrected formation energy: -368 meV per atom

=====

Material: BaGaSi2
Method: DFT, PBE-GGA
State: relaxed

CIF file:
```
data_BaGaSi2
_space_group_name_H-M_alt 'I 41/a m d'
_space_group_IT_number 141
_cell_length_a 5.015
_cell_length_b 5.015
_cell_length_c 17.323
_cell_angle_alpha 90.00
_cell_angle_beta 90.00
_cell_angle_gamma 90.00
loop_
_space_group_symop_operation_xyz
'x,y,z'
'-x,-y,-z'
'-y+1/4,x+3/4,z+1/4'
'y+1/4,-x+3/4,-z+1/4'
'-x+1/2,-y,z+1/2'
'x+1/2,y,-z+1/2'
'y+1/4,-x+1/4,z+3/4'
'-y+1/4,x+1/4,-z+3/4'
'x,-y,-z'
'-x,y,z'
'-y+1/4,-x+1/4,-z+3/4'
'y+1/4,x+1/4,z+3/4'
'-x+1/2,y,-z+1/2'
'x+1/2,-y,z+1/2'
'y+1/4,x+3/4,-z+1/4'
'-y+1/4,-x+3/4,z+1/4'
'x+1/2,y+1/2,z+1/2'
'-x+1/2,-y+1/2,-z+1/2'
'-y+3/4,x+1/4,z+3/4'
'y+3/4,-x+1/4,-z+3/4'
'-x,-y+1/2,z'
'x,y+1/2,-z'
'y+3/4,-x+3/4,z+1/4'
'-y+3/4,x+3/4,-z+1/4'
'x+1/2,-y+1/2,-z+1/2'
'-x+1/2,y+1/2,z+1/2'
'-y+3/4,-x+3/4,-z+1/4'
'y+3/4,x+3/4,z+1/4'
'-x,y+1/2,-z'
'x,-y+1/2,z'
'y+3/4,x+1/4,-z+3/4'
'-y+3/4,-x+1/4,z+3/4'
loop_
_atom_site_label
_atom_site_fract_x
_atom_site_fract_y
_atom_site_fract_z
Ba1 0.000 0.250 0.375
Ga1 0.000 0.250 0.875
Si1 0.000 0.000 0.000
```

## Properties
Crystal system: tetragonal
N(E_F): 0.37 states/eV per atom
Uncorrected formation energy: -150 meV per atom

=====

Material: BaSrGaSi
Method: DFT, PBE-GGA
State: relaxed

CIF file:
```
data_BaSrGaSi
_space_group_name_H-M_alt 'A m m 2'
_space_group_IT_number 38
_cell_length_a 4.291
_cell_length_b 4.826
_cell_length_c 12.485
_cell_angle_alpha 90.00
_cell_angle_beta 90.00
_cell_angle_gamma 90.00
loop_
_space_group_symop_operation_xyz
'x,y,z'
'-x,-y,z'
'-x,y,z'
'x,-y,z'
'x,y+1/2,z+1/2'
'-x,-y+1/2,z+1/2'
'-x,y+1/2,z+1/2'
'x,-y+1/2,z+1/2'
loop_
_atom_site_label
_atom_site_fract_x
_atom_site_fract_y
_atom_site_fract_z
Ba1 0.000 0.000 0.000
Sr1 0.500 0.000 0.277
Ga1 0.000 0.000 0.706
Si1 0.500 0.000 0.588
```

## Properties
Crystal system: orthorhombic
N(E_F): 0.63 states/eV per atom
Uncorrected formation energy: -412 meV per atom

=====

Material: BaV2GaSi
Method: DFT, PBE-GGA
State: relaxed

CIF file:
```
data_BaV2GaSi
_space_group_name_H-M_alt 'P 4/m m m'
_space_group_IT_number 123
_space_group_name_Hall '-P 4 2'
_cell_length_a 5.127
_cell_length_b 5.127
_cell_length_c 5.540
_cell_angle_alpha 90.00
_cell_angle_beta 90.00
_cell_angle_gamma 90.00
loop_
_atom_site_label
_atom_site_fract_x
_atom_site_fract_y
_atom_site_fract_z
Ba1 0.000 0.000 0.000
V1 0.000 0.500 0.000
Ga1 0.000 0.000 0.500
Si1 0.500 0.500 0.500
```

## Properties
Crystal system: tetragonal
N(E_F): 1.59 states/eV per atom
Uncorrected formation energy: 2298 meV per atom

=====

N(E_F) of number 4 (BaV2GaSi)? 1.59 states/eV per atom

=====

Which value of N(E_F) does entry 2 give? 0.37 states/eV per atom

=====

What is the formula in the third record? BaSrGaSi